DFT (PBE-GGA) results for an optimized crystal structure of GaFeSi2.

Results
As for the total energy: -82.88 eV per cell. The value obtained for the calculated volume is 211.41 Å³ per cell.

a b c (Å): 5.9572 5.9572 5.9572
angles (deg): 90.00 90.00 90.00
Space group F-43m (No. 216)
Symmetry-distinct sites (fractional):
Ga  0.0000  0.0000  0.0000 (multiplicity 4)
Fe  0.2500  0.2500  0.2500 (multiplicity 4)
Si  0.0000  0.0000  0.5000 (multiplicity 4)
Si  0.2500  0.2500  0.7500 (multiplicity 4)

DFT (PBE-GGA) results for an optimized crystal structure of HoInNiSe3.

Results
As for the total energy: -114.61 eV per cell. The value obtained for the calculated volume is 567.90 Å³ per cell.

a b c (Å): 3.8434 14.1490 10.4430
angles (deg): 90.00 90.00 90.00
Space group Cmcm (No. 63)
Symmetry-distinct sites (fractional):
Ho  0.0000  0.0000  0.0000 (multiplicity 4)
In  0.0000  0.2451  0.2500 (multiplicity 4)
Ni  0.0000  0.4771  0.7500 (multiplicity 4)
Se  0.0000  0.0797  0.7500 (multiplicity 4)
Se  0.0000  0.3640  0.5775 (multiplicity 8)

DFT (PBE-GGA) results for an optimized crystal structure of LaPbAuSeS2.

Results
As for the total energy: -118.92 eV per cell. The value obtained for the calculated volume is 624.27 Å³ per cell.

a b c (Å): 4.1311 13.5738 11.1328
angles (deg): 90.00 90.00 90.00
Space group Cmcm (No. 63)
Symmetry-distinct sites (fractional):
La  0.0000  0.0000  0.0000 (multiplicity 4)
Pb  0.0000  0.2262  0.2500 (multiplicity 4)
Au  0.0000  0.4702  0.7500 (multiplicity 4)
Se  0.0000  0.0990  0.7500 (multiplicity 4)
S  0.0000  0.3607  0.5691 (multiplicity 8)